Entry from Alexandria: a relaxed CsAgC2 crystal (GGA-PBE).

Cell and atoms, written as POSCAR:
```
CsAgC2
1.0
5.319 0.000 0.000
0.000 5.319 0.000
0.000 0.000 9.036
Cs Ag C
2 2 4
Cartesian
0.000 0.000 6.777
0.000 0.000 2.259
2.660 2.660 0.000
2.660 2.660 4.518
0.625 2.660 4.518
2.660 0.625 0.000
2.660 4.695 0.000
4.695 2.660 4.518
```

Values from the calculation:
polymorph energy (0 for the lowest one)	0.0000	eV per atom
energy relative to the elements	34.3	kJ per mole of atoms
size of the total moment	0.00	μB/atom



Entry from Alexandria: a relaxed CsAgC2 crystal (GGA-PBE).

Cell and atoms, written as POSCAR:
```
CsAgC2
1.0
0.000 3.334 3.334
3.334 0.000 3.334
3.334 3.334 0.000
Ag Cs C
1 1 2
Cartesian
0.000 0.000 0.000
3.334 3.334 3.334
1.667 1.667 1.667
5.000 5.000 5.000
```

Values from the calculation:
polymorph energy (0 for the lowest one)	2.6076	eV per atom
energy relative to the elements	285.9	kJ per mole of atoms
size of the total moment	0.00	μB/atom



Entry from Alexandria: a relaxed Cs3AgC crystal (GGA-PBE).

Cell and atoms, written as POSCAR:
```
Cs3AgC
1.0
6.373 0.000 0.000
0.000 6.373 0.000
0.000 0.000 6.373
Cs Ag C
3 1 1
Cartesian
0.000 3.186 0.000
3.186 0.000 0.000
0.000 0.000 3.186
3.186 3.186 3.186
0.000 0.000 0.000
```

Values from the calculation:
polymorph energy (0 for the lowest one)	0.0000	eV per atom
energy relative to the elements	86.0	kJ per mole of atoms
size of the total moment	0.40	μB/atom



Entry from Alexandria: a relaxed Cs2AgCI6 crystal (GGA-PBE).

Cell and atoms, written as POSCAR:
```
Cs2AgCI6
1.0
-2.321 -1.665 7.490
5.343 -5.967 0.330
5.439 -0.186 5.934
I C Ag Cs
6 1 1 2
Cartesian
3.373 -2.095 4.869
2.231 -5.633 5.772
0.792 -1.999 2.048
-0.314 -2.792 5.615
5.088 -5.723 8.884
3.336 -4.840 2.205
1.511 -3.816 3.910
0.000 0.000 0.000
2.315 -2.833 8.667
6.147 -4.984 5.087
```

Values from the calculation:
formation energy (no corrections)	-0.15	eV per atom
size of the total moment	0.00	μB/atom



Entry from Alexandria: a relaxed CsIn2AgC crystal (GGA-PBE).

Cell and atoms, written as POSCAR:
```
CsIn2AgC
1.0
-0.824 3.096 -3.604
-6.197 -1.894 -0.211
-1.154 3.418 3.200
Cs In Ag C
1 2 1 1
Cartesian
-3.098 -0.947 -0.106
-0.577 1.709 1.600
-0.412 1.548 -1.802
-4.087 2.310 -0.307
0.000 0.000 0.000
```

Values from the calculation:
energy relative to the elements	88.1	kJ per mole of atoms
size of the total moment	0.00	μB/atom



Entry from Alexandria: a relaxed Cs2AgC2O6 crystal (GGA-PBE).

Cell and atoms, written as POSCAR:
```
Cs2AgC2O6
1.0
5.252 0.000 0.000
-2.626 6.346 0.145
0.000 -3.403 6.270
C O Ag Cs
2 6 1 2
Cartesian
2.626 3.909 4.602
0.000 -0.966 1.813
4.144 -1.772 4.729
2.626 2.727 4.148
0.000 0.216 2.267
1.518 4.715 1.686
-1.518 4.715 1.686
1.107 -1.772 4.729
2.626 -1.702 3.135
0.000 1.220 5.139
2.626 1.723 1.276
```

Values from the calculation:
formation energy (no corrections)	-1.39	eV per atom
size of the total moment	0.00	μB/atom



Entry from Alexandria: a relaxed CsAgWC2 crystal (GGA-PBE).

Cell and atoms, written as POSCAR:
```
CsAgWC2
1.0
-3.163 -3.045 0.878
3.703 -3.302 1.891
-0.538 1.739 4.091
C Ag W Cs
2 1 1 1
Cartesian
-0.269 0.869 2.045
-1.582 -1.522 0.439
0.001 -2.304 3.430
1.852 -1.651 0.946
0.000 0.000 0.000
```

Values from the calculation:
energy relative to the elements	411.6	kJ per mole of atoms
size of the total moment	0.00	μB/atom



Entry from Alexandria: a relaxed CuAgC2 crystal (GGA-PBE).

Cell and atoms, written as POSCAR:
```
CuAgC2
1.0
-1.816 -1.638 2.753
1.545 -3.220 -0.897
5.190 -1.077 5.246
C Ag Cu
4 2 2
Cartesian
0.810 -1.286 2.231
4.178 -3.435 4.406
1.582 -2.897 1.784
3.269 -4.253 5.783
1.619 -2.572 4.464
0.000 0.000 0.000
-0.136 -2.429 0.928
3.300 -3.363 2.639
```

Values from the calculation:
polymorph energy (0 for the lowest one)	0.0000	eV per atom
energy relative to the elements	172.9	kJ per mole of atoms
size of the total moment	0.00	μB/atom



Entry from Alexandria: a relaxed CuAgC2 crystal (GGA-PBE).

Cell and atoms, written as POSCAR:
```
CuAgC2
1.0
-1.497 -3.636 0.132
-3.845 -0.522 0.649
-2.329 -1.275 -2.902
C Cu Ag
2 1 1
Cartesian
-1.918 -1.358 -0.530
-5.753 -4.074 -1.591
0.000 0.000 0.000
-3.835 -2.716 -1.061
```

Values from the calculation:
polymorph energy (0 for the lowest one)	0.3933	eV per atom
energy relative to the elements	210.8	kJ per mole of atoms
size of the total moment	0.00	μB/atom



Entry from Alexandria: a relaxed Cu2AgC crystal (GGA-PBE).

Cell and atoms, written as POSCAR:
```
Cu2AgC
1.0
-0.094 -1.573 -4.342
4.543 -0.809 0.194
1.170 -6.633 -0.080
Cu Ag C
4 2 2
Cartesian
0.825 -2.349 -1.623
3.682 -6.070 -1.567
3.097 -2.754 -1.527
3.634 -6.856 -3.738
1.650 -4.698 -3.248
0.000 0.000 0.000
3.969 -4.316 -0.980
2.225 -1.191 -2.074
```

Values from the calculation:
energy relative to the elements	86.4	kJ per mole of atoms
size of the total moment	0.00	μB/atom



Entry from Alexandria: a relaxed Cu3AgC crystal (GGA-PBE).

Cell and atoms, written as POSCAR:
```
Cu3AgC
1.0
4.696 0.000 0.000
0.000 4.696 0.000
0.000 0.000 4.696
Ag Cu C
1 3 1
Cartesian
0.000 0.000 0.000
2.348 0.000 0.000
0.000 0.000 2.348
0.000 2.348 0.000
2.348 2.348 2.348
```

Values from the calculation:
polymorph energy (0 for the lowest one)	1.9188	eV per atom
energy relative to the elements	218.4	kJ per mole of atoms
size of the total moment	0.26	μB/atom



Entry from Alexandria: a relaxed Cu3AgC crystal (GGA-PBE).

Cell and atoms, written as POSCAR:
```
Cu3AgC
1.0
3.932 0.000 0.000
0.000 3.932 0.000
0.000 0.000 3.932
Cu C Ag
3 1 1
Cartesian
1.966 0.000 0.000
0.000 0.000 1.966
0.000 1.966 0.000
0.000 0.000 0.000
1.966 1.966 1.966
```

Values from the calculation:
polymorph energy (0 for the lowest one)	0.0000	eV per atom
energy relative to the elements	33.3	kJ per mole of atoms
size of the total moment	0.00	μB/atom



Entry from Alexandria: a relaxed Fe2CuAgC crystal (GGA-PBE).

Cell and atoms, written as POSCAR:
```
Fe2CuAgC
1.0
-1.945 -3.178 0.455
3.674 -2.328 -0.558
0.646 0.133 3.695
Fe Cu Ag C
2 1 1 1
Cartesian
0.323 0.067 1.847
-0.972 -1.589 0.227
1.188 -2.686 1.796
1.837 -1.164 -0.279
0.000 0.000 0.000
```

Values from the calculation:
energy relative to the elements	42.6	kJ per mole of atoms
size of the total moment	0.70	μB/atom



Entry from Alexandria: a relaxed La2CuAgC crystal (GGA-PBE).

Cell and atoms, written as POSCAR:
```
La2CuAgC
1.0
5.694 0.000 0.000
0.000 3.610 0.000
0.000 0.000 5.694
Cu Ag La C
1 1 2 1
Cartesian
0.000 0.000 0.000
2.847 1.805 2.847
2.847 0.000 0.000
0.000 0.000 2.847
0.000 1.805 0.000
```

Values from the calculation:
polymorph energy (0 for the lowest one)	0.4350	eV per atom
energy relative to the elements	31.9	kJ per mole of atoms
size of the total moment	0.00	μB/atom



Entry from Alexandria: a relaxed La2CuAgC crystal (GGA-PBE).

Cell and atoms, written as POSCAR:
```
La2CuAgC
1.0
5.363 0.000 0.000
0.000 5.363 0.000
0.000 0.000 3.841
La Cu C Ag
2 1 1 1
Cartesian
2.682 0.000 0.000
0.000 2.682 0.000
0.000 0.000 1.921
0.000 0.000 0.000
2.682 2.682 1.921
```

Values from the calculation:
polymorph energy (0 for the lowest one)	0.0000	eV per atom
energy relative to the elements	-10.0	kJ per mole of atoms
size of the total moment	0.00	μB/atom



Entry from Alexandria: a relaxed CuAgMoC2 crystal (GGA-PBE).

Cell and atoms, written as POSCAR:
```
CuAgMoC2
1.0
3.825 0.000 0.000
0.000 4.951 0.000
0.000 0.000 3.825
Mo C Cu Ag
1 2 1 1
Cartesian
0.000 2.476 0.000
0.000 0.000 1.912
1.912 0.000 0.000
0.000 0.000 0.000
1.912 2.476 1.912
```

Values from the calculation:
energy relative to the elements	236.2	kJ per mole of atoms
size of the total moment	0.40	μB/atom



Entry from Alexandria: a relaxed RbCuAg2C4N4 crystal (GGA-PBE).

Cell and atoms, written as POSCAR:
```
RbCuAg2C4N4
1.0
-1.967 -2.682 -6.974
7.174 1.753 -2.698
4.025 -6.682 1.434
Ag C N Rb Cu
4 8 8 2 2
Cartesian
0.000 0.000 0.000
0.193 -2.779 -2.524
2.013 -3.341 0.717
1.865 -6.585 -3.016
3.745 -3.775 -0.312
6.699 -2.730 -4.279
5.486 -3.835 -7.925
0.906 -1.013 -3.305
2.532 -4.881 -3.958
0.091 -2.673 -6.851
8.325 -6.597 -4.932
9.141 -4.938 -1.387
4.507 -3.580 -7.326
3.839 -0.943 -6.024
7.968 -4.947 -1.474
1.264 -2.664 -6.763
5.392 -6.668 -2.213
6.322 -3.642 -3.639
2.909 -3.969 -4.598
4.725 -4.030 -0.912
5.120 -6.160 -5.539
4.111 -1.451 -2.699
3.135 -2.782 -6.161
6.097 -4.829 -2.077
```

Values from the calculation:
formation energy (no corrections)	0.19	eV per atom
size of the total moment	0.01	μB/atom



Entry from Alexandria: a relaxed CuNi2AgC crystal (GGA-PBE).

Cell and atoms, written as POSCAR:
```
CuNi2AgC
1.0
-1.756 2.569 -2.161
-3.292 -0.840 1.676
0.698 2.816 2.781
C Ni Ag Cu
1 2 1 1
Cartesian
0.000 0.000 0.000
-1.646 -0.420 0.838
-0.878 1.284 -1.080
-2.175 2.273 1.148
0.349 1.408 1.391
```

Values from the calculation:
energy relative to the elements	17.5	kJ per mole of atoms
size of the total moment	0.00	μB/atom



Entry from Alexandria: a relaxed CuAg2C2O6 crystal (GGA-PBE).

Cell and atoms, written as POSCAR:
```
CuAg2C2O6
1.0
-0.544 -0.331 5.011
-1.170 -4.431 2.126
5.054 -2.818 2.909
Ag O C Cu
2 6 2 1
Cartesian
1.556 -2.053 2.579
1.784 -5.527 7.467
2.908 -5.387 5.052
3.187 -3.560 6.338
-0.089 -4.168 5.942
0.153 -4.021 3.708
0.432 -2.194 4.994
3.429 -3.412 4.104
0.119 -3.451 4.877
3.221 -4.130 5.169
0.000 0.000 0.000
```

Values from the calculation:
formation energy (no corrections)	-0.74	eV per atom
size of the total moment	0.10	μB/atom



Entry from Alexandria: a relaxed RbCuAg2C crystal (GGA-PBE).

Cell and atoms, written as POSCAR:
```
RbCuAg2C
1.0
4.346 0.000 0.000
0.000 4.346 0.000
0.000 0.000 5.784
Ag Cu Rb C
2 1 1 1
Cartesian
2.173 0.000 0.000
0.000 2.173 0.000
2.173 2.173 2.892
0.000 0.000 2.892
0.000 0.000 0.000
```

Values from the calculation:
energy relative to the elements	110.6	kJ per mole of atoms
size of the total moment	0.13	μB/atom